{"formula": "KNaMg2Ga", "functional": "PBE", "state": "optimized geometry", "sg": "P4/mmm, No. 123", "total_magnetization_mub_per_atom": 0.000, "dos_at_fermi_per_ev_atom": 0.483, "energy_ev_per_cell": -8.3, "lattice": [[5.2824, 0.0000, 0.0000], [0.0000, 5.2824, 0.0000], [0.0000, 0.0000, 5.8731]], "species": ["K", "Na", "Mg", "Mg", "Ga"], "frac_coords": [[0.0000, 0.0000, 0.0000], [0.5000, 0.5000, 0.0000], [0.0000, 0.5000, 0.5000], [0.5000, 0.0000, 0.5000], [0.5000, 0.5000, 0.5000]]}

***

{"formula": "PrDyErTm3", "functional": "PBE", "state": "optimized geometry", "sg": "Cmcm, No. 63", "total_magnetization_mub_per_atom": 0.000, "dos_at_fermi_per_ev_atom": 1.394, "energy_ev_per_cell": -54.4, "lattice": [[2.5042, -7.5086, 0.0000], [2.5042, 7.5086, 0.0000], [0.0000, 0.0000, 10.0036]], "species": ["Pr", "Pr", "Dy", "Dy", "Er", "Er", "Tm", "Tm", "Tm", "Tm", "Tm", "Tm"], "frac_coords": [[0.9998, 0.0002, 0.2500], [0.0002, 0.9998, 0.7500], [0.5000, 0.5000, 0.0000], [0.5000, 0.5000, 0.5000], [0.3313, 0.6687, 0.7500], [0.6687, 0.3313, 0.2500], [0.1680, 0.8320, 0.0001], [0.1680, 0.8320, 0.4999], [0.3314, 0.6686, 0.2500], [0.6686, 0.3314, 0.7500], [0.8320, 0.1680, 0.9999], [0.8320, 0.1680, 0.5001]]}

***

{"formula": "Sr2AlIn3", "functional": "PBE", "state": "optimized geometry", "sg": "Cm, No. 8", "total_magnetization_mub_per_atom": 0.000, "dos_at_fermi_per_ev_atom": 0.307, "energy_ev_per_cell": -17.7, "lattice": [[5.8785, -2.5110, 0.0000], [5.8785, 2.5110, 0.0000], [-5.5851, 0.0000, 5.8976]], "species": ["Sr", "Sr", "Al", "In", "In", "In"], "frac_coords": [[0.0000, 0.0000, 0.0000], [0.0907, 0.0907, 0.5926], [0.7097, 0.7097, 0.3957], [0.3757, 0.3757, 0.5666], [0.3951, 0.3951, 0.1953], [0.7071, 0.7071, 0.0260]]}

***

{"formula": "W3C5", "functional": "PBE", "state": "optimized geometry", "sg": "Cm, No. 8", "total_magnetization_mub_per_atom": 0.000, "polymorph_energy_ev_per_atom": 0.1426, "dos_at_fermi_per_ev_atom": 0.375, "energy_ev_per_cell": -155.0, "lattice": [[2.9852, -5.3922, 0.0000], [2.9852, 5.3922, 0.0000], [-2.4043, 0.0000, 5.3595]], "species": ["W", "W", "W", "W", "W", "W", "C", "C", "C", "C", "C", "C", "C", "C", "C", "C"], "frac_coords": [[0.0000, 0.0000, 0.0000], [0.2070, 0.2070, 0.5274], [0.4425, 0.8675, 0.7738], [0.4669, 0.7381, 0.2513], [0.7381, 0.4669, 0.2513], [0.8675, 0.4425, 0.7738], [0.1146, 0.7477, 0.1362], [0.2418, 0.8609, 0.4057], [0.3489, 0.3489, 0.2641], [0.3909, 0.5291, 0.8704], [0.5291, 0.3909, 0.8704], [0.7036, 0.8348, 0.6359], [0.7477, 0.1146, 0.1362], [0.8348, 0.7036, 0.6359], [0.8466, 0.8466, 0.2602], [0.8609, 0.2418, 0.4057]]}

***

{"formula": "ScGe2Pd", "functional": "PBE", "state": "optimized geometry", "sg": "Fm-3m, No. 225", "total_magnetization_mub_per_atom": 0.000, "dos_at_fermi_per_ev_atom": 0.964, "energy_ev_per_cell": -22.5, "lattice": [[0.0000, 3.2585, 3.2585], [3.2585, 0.0000, 3.2585], [3.2585, 3.2585, 0.0000]], "species": ["Sc", "Ge", "Ge", "Pd"], "frac_coords": [[0.0000, 0.0000, 0.0000], [0.2500, 0.2500, 0.2500], [0.7500, 0.7500, 0.7500], [0.5000, 0.5000, 0.5000]]}

***

{"formula": "VGaPd4", "functional": "PBE", "state": "optimized geometry", "sg": "Imma, No. 74", "total_magnetization_mub_per_atom": 0.000, "dos_at_fermi_per_ev_atom": 0.595, "energy_ev_per_cell": -68.1, "lattice": [[-2.9412, 2.9678, 5.7666], [2.9412, -2.9678, 5.7666], [2.9412, 2.9678, -5.7666]], "species": ["V", "V", "Ga", "Ga", "Pd", "Pd", "Pd", "Pd", "Pd", "Pd", "Pd", "Pd"], "frac_coords": [[0.3756, 0.1256, 0.2500], [0.6244, 0.8744, 0.7500], [0.1255, 0.3755, 0.7500], [0.8745, 0.6245, 0.2500], [0.0000, 0.2496, 0.2496], [0.0000, 0.7504, 0.7504], [0.2494, 0.0000, 0.7494], [0.2494, 0.5000, 0.2494], [0.5000, 0.2496, 0.7496], [0.5000, 0.7504, 0.2504], [0.7506, 0.0000, 0.2506], [0.7506, 0.5000, 0.7506]]}

***

{"formula": "Tm4HgIr2", "functional": "PBE", "state": "optimized geometry", "sg": "I-42d, No. 122", "total_magnetization_mub_per_atom": 0.000, "polymorph_energy_ev_per_atom": 0.0000, "dos_at_fermi_per_ev_atom": 0.478, "energy_ev_per_cell": -81.2, "lattice": [[-4.3585, 4.3585, 4.3117], [4.3585, -4.3585, 4.3117], [4.3585, 4.3585, -4.3117]], "species": ["Tm", "Tm", "Tm", "Tm", "Tm", "Tm", "Tm", "Tm", "Hg", "Hg", "Ir", "Ir", "Ir", "Ir"], "frac_coords": [[0.0016, 0.3999, 0.2547], [0.1452, 0.7470, 0.7453], [0.1499, 0.2516, 0.7547], [0.2530, 0.9984, 0.3982], [0.4970, 0.3952, 0.2453], [0.6001, 0.8548, 0.6018], [0.6048, 0.8501, 0.1018], [0.7484, 0.5030, 0.8982], [0.0000, 0.0000, 0.0000], [0.7500, 0.2500, 0.5000], [0.2456, 0.6250, 0.1206], [0.3750, 0.4956, 0.6206], [0.5044, 0.1250, 0.8794], [0.8750, 0.7544, 0.3794]]}

***

{"formula": "Cs2UHg2Br6", "functional": "PBE", "state": "optimized geometry", "sg": "C2/m, No. 12", "total_magnetization_mub_per_atom": 0.182, "dos_at_fermi_per_ev_atom": 0.549, "energy_ev_per_cell": -37.5, "lattice": [[4.3976, -7.7911, 0.0000], [4.3976, 7.7911, 0.0000], [-3.7357, 0.0000, 8.1181]], "species": ["Cs", "Cs", "U", "Hg", "Hg", "Br", "Br", "Br", "Br", "Br", "Br"], "frac_coords": [[0.1683, 0.8317, 0.0000], [0.8317, 0.1683, 0.0000], [0.5000, 0.5000, 0.0000], [0.3051, 0.6949, 0.5000], [0.6949, 0.3051, 0.5000], [0.1595, 0.4156, 0.8034], [0.3167, 0.3167, 0.1924], [0.4156, 0.1595, 0.8034], [0.5844, 0.8405, 0.1966], [0.6833, 0.6833, 0.8076], [0.8405, 0.5844, 0.1966]]}

***

{"formula": "MgBeAu5", "functional": "PBE", "state": "optimized geometry", "sg": "P4/mmm, No. 123", "total_magnetization_mub_per_atom": 0.000, "dos_at_fermi_per_ev_atom": 0.378, "energy_ev_per_cell": -23.7, "lattice": [[4.1059, 0.0000, 0.0000], [0.0000, 4.1059, 0.0000], [0.0000, 0.0000, 7.0802]], "species": ["Mg", "Be", "Au", "Au", "Au", "Au", "Au"], "frac_coords": [[0.0000, 0.0000, 0.0000], [0.5000, 0.5000, 0.5000], [0.0000, 0.5000, 0.2987], [0.0000, 0.5000, 0.7013], [0.5000, 0.0000, 0.2987], [0.5000, 0.0000, 0.7013], [0.5000, 0.5000, 0.0000]]}

***

{"formula": "SrNbCu2O", "functional": "PBE", "state": "optimized geometry", "sg": "P4/mmm, No. 123", "total_magnetization_mub_per_atom": 0.540, "dos_at_fermi_per_ev_atom": 0.722, "energy_ev_per_cell": -19.8, "lattice": [[5.1461, 0.0000, 0.0000], [0.0000, 5.1461, 0.0000], [0.0000, 0.0000, 4.3115]], "species": ["Sr", "Nb", "Cu", "Cu", "O"], "frac_coords": [[0.0000, 0.0000, 0.0000], [0.5000, 0.5000, 0.5000], [0.0000, 0.5000, 0.0000], [0.5000, 0.0000, 0.0000], [0.0000, 0.0000, 0.5000]]}

***

{"formula": "Pm2CuSi3Ni4", "functional": "PBE", "state": "optimized geometry", "sg": "P-4m2, No. 115", "total_magnetization_mub_per_atom": 0.000, "dos_at_fermi_per_ev_atom": 0.676, "energy_ev_per_cell": -59.8, "lattice": [[4.0770, 0.0000, 0.0000], [0.0000, 4.0770, 0.0000], [0.0000, 0.0000, 9.4001]], "species": ["Pm", "Pm", "Cu", "Si", "Si", "Si", "Ni", "Ni", "Ni", "Ni"], "frac_coords": [[0.0000, 0.5000, 0.2474], [0.5000, 0.0000, 0.7526], [0.5000, 0.5000, 0.0000], [0.0000, 0.0000, 0.0000], [0.0000, 0.5000, 0.6237], [0.5000, 0.0000, 0.3763], [0.0000, 0.0000, 0.5000], [0.0000, 0.5000, 0.8691], [0.5000, 0.0000, 0.1309], [0.5000, 0.5000, 0.5000]]}

***

{"formula": "BaCdS2", "functional": "PBE", "state": "optimized geometry", "sg": "R-3m, No. 166", "total_magnetization_mub_per_atom": 0.000, "dos_at_fermi_per_ev_atom": 0.000, "energy_ev_per_cell": -15.8, "lattice": [[2.4299, 1.4029, 7.6605], [-2.4299, 1.4029, 7.6605], [0.0000, -2.8058, 7.6605]], "species": ["Ba", "Cd", "S", "S"], "frac_coords": [[0.0000, 0.0000, 0.0000], [0.5000, 0.5000, 0.5000], [0.3988, 0.3988, 0.3988], [0.6012, 0.6012, 0.6012]]}